Computed, not measured: an optimized crystal structure of TaBeNi2 at the PBE-GGA level of DFT.

POSCAR file:
```
TaBeNi2
1.0
-0.8448 -3.5137 -2.5342
-0.7099 -3.4377 2.6758
-1.7652 4.0454 -0.0133
Ni Be Ta
2 1 1
direct
0.2500 0.7500 0.5000
0.0000 0.0000 0.0000
0.7500 0.2500 0.5000
0.5000 0.5000 0.0000
```

size of the total moment	0.00	μB/atom
ΔH_f (0 K)	-0.147	eV/atom



Computed, not measured: an optimized crystal structure of VSnAsRh2 at the PBE-GGA level of DFT.

POSCAR file:
```
VSnAsRh2
1.0
4.5069 0.0000 0.0000
0.0000 5.0713 0.0000
0.0000 0.0000 4.5069
Rh Sn V As
2 1 1 1
direct
0.5000 0.0000 0.0000
0.0000 0.0000 0.5000
0.0000 0.5000 0.0000
0.0000 0.0000 0.0000
0.5000 0.5000 0.5000
```

size of the total moment	0.00	μB/atom
ΔH_f (0 K)	0.727	eV/atom



Computed, not measured: an optimized crystal structure of Li2Ca6Ga at the PBE-GGA level of DFT.

POSCAR file:
```
Li2Ca6Ga
1.0
5.1382 0.0000 1.7109
2.5695 6.6588 0.8543
-0.0059 0.0016 8.5886
Ca Li Ga
6 2 1
direct
0.3634 0.7733 0.5000
0.3045 0.2119 0.1790
0.9835 0.2120 0.8209
0.6366 0.2267 0.5000
0.6955 0.7881 0.8210
0.0165 0.7880 0.1791
0.6687 0.5000 0.1627
0.3313 0.5000 0.8373
0.0000 0.5000 0.5000
```

size of the total moment	0.00	μB/atom
ΔH_f (0 K)	-0.105	eV/atom



Computed, not measured: an optimized crystal structure of SmAl2ZnCu4 at the PBE-GGA level of DFT.

POSCAR file:
```
SmAl2ZnCu4
1.0
-0.4034 4.0985 0.6640
-2.5911 2.2518 -2.3700
-7.3259 0.6058 4.9138
Cu Al Zn Sm
4 2 1 1
direct
0.4041 0.4041 0.7877
0.5959 0.5959 0.2123
0.8671 0.8671 0.3987
0.1329 0.1329 0.6013
0.7596 0.7596 0.7212
0.2404 0.2404 0.2788
0.5000 0.5000 0.5000
0.0000 0.0000 0.0000
```

size of the total moment	0.00	μB/atom
ΔH_f (0 K)	-0.239	eV/atom



Computed, not measured: an optimized crystal structure of Hg2AsW at the PBE-GGA level of DFT.

POSCAR file:
```
Hg2AsW
1.0
2.8678 0.0000 0.0000
0.0000 2.8678 0.0000
0.0000 0.0000 9.7310
Hg W As
2 1 1
direct
0.0000 0.0000 0.0182
0.0000 0.0000 0.4818
0.5000 0.5000 0.2500
0.5000 0.5000 0.7500
```

size of the total moment	0.00	μB/atom
ΔH_f (0 K)	0.767	eV/atom



Computed, not measured: an optimized crystal structure of Tb6Pm2Ho3 at the PBE-GGA level of DFT.

POSCAR file:
```
Tb6Pm2Ho3
1.0
5.8641 0.0000 1.7563
2.9320 5.3094 0.8782
-1.3180 0.0000 11.6185
Tb Pm Ho
6 2 3
direct
0.4161 0.6666 0.7526
0.7497 0.0000 0.7525
0.9174 0.6666 0.2474
0.2503 0.0000 0.2475
0.5839 0.3334 0.2474
0.0826 0.3334 0.7526
0.8335 0.3331 0.5000
0.1665 0.6669 0.5000
0.6653 0.6694 0.0000
0.3347 0.3306 0.0000
0.0000 0.0000 0.0000
```

size of the total moment	0.00	μB/atom
energy relative to the lowest polymorph listed for this composition	0.000	eV/atom
ΔH_f (0 K)	0.181	eV/atom



Computed, not measured: an optimized crystal structure of Cs2YRuO6 at the PBE-GGA level of DFT.

POSCAR file:
```
Cs2YRuO6
1.0
5.7455 0.0000 0.0000
0.0000 6.6362 0.0000
0.0000 -3.3181 5.7471
O Ru Cs Y
6 1 2 1
direct
0.2053 0.2652 0.1326
0.7947 0.1326 0.8674
0.7947 0.1326 0.2652
0.2053 0.8674 0.1326
0.7947 0.7348 0.8674
0.2053 0.8674 0.7348
0.0000 0.0000 0.0000
0.8518 0.6667 0.3333
0.1482 0.3333 0.6667
0.5000 0.0000 0.0000
```

size of the total moment	0.10	μB/atom
energy relative to the elements, uncorrected	-1.60	eV per atom



Computed, not measured: an optimized crystal structure of Mg2Bi at the PBE-GGA level of DFT.

POSCAR file:
```
Mg2Bi
1.0
-7.3621 -1.7742 -4.0079
6.7560 -1.2636 5.1157
-2.8923 2.1650 4.3545
Mg Bi
4 2
direct
0.5635 0.4365 0.7500
0.2219 0.7781 0.7500
0.7781 0.2219 0.2500
0.4365 0.5635 0.2500
0.8935 0.1065 0.7500
0.1065 0.8935 0.2500
```

size of the total moment	0.00	μB/atom
ΔH_f (0 K)	-0.046	eV/atom



Computed, not measured: an optimized crystal structure of CaBRu2 at the PBE-GGA level of DFT.

POSCAR file:
```
CaBRu2
1.0
4.7101 0.0000 0.0000
0.0000 4.7101 0.0000
2.3550 2.3550 7.1806
Ru Ca B
4 2 2
direct
0.3744 0.6250 0.2500
0.3756 0.1250 0.2500
0.3750 0.6244 0.7500
0.8750 0.6256 0.7500
0.0000 0.0000 0.0000
0.7500 0.2500 0.5000
0.5000 0.5000 0.0000
0.2500 0.7500 0.5000
```

size of the total moment	0.00	μB/atom
ΔH_f (0 K)	0.449	eV/atom



Computed, not measured: an optimized crystal structure of Al2FeIr3 at the PBE-GGA level of DFT.

POSCAR file:
```
Al2FeIr3
1.0
2.9908 0.0000 0.0000
0.0000 2.9908 0.0000
0.0000 0.0000 9.2064
Fe Al Ir
1 2 3
direct
0.5000 0.5000 0.5000
0.5000 0.5000 0.1680
0.5000 0.5000 0.8320
0.0000 0.0000 0.0000
0.0000 0.0000 0.6712
0.0000 0.0000 0.3288
```

size of the total moment	0.67	μB/atom
ΔH_f (0 K)	-0.634	eV/atom



Computed, not measured: an optimized crystal structure of CeEuC2 at the PBE-GGA level of DFT.

POSCAR file:
```
CeEuC2
1.0
-3.1931 -0.1472 1.8720
-3.1203 -0.9879 -1.7349
-1.0395 -6.1369 1.4095
Ce Eu C
1 1 2
direct
0.0000 0.0000 0.0000
0.5000 0.5000 0.5000
0.7411 0.7411 0.7766
0.2589 0.2589 0.2234
```

size of the total moment	1.40	μB/atom
ΔH_f (0 K)	0.346	eV/atom



Computed, not measured: an optimized crystal structure of NdDyCu2 at the PBE-GGA level of DFT.

POSCAR file:
```
NdDyCu2
1.0
4.9968 0.0000 0.0000
2.4984 4.3273 0.0000
2.4984 1.4424 4.0798
Cu Dy Nd
2 1 1
direct
0.2500 0.2500 0.2500
0.7500 0.7500 0.7500
0.0000 0.0000 0.0000
0.5000 0.5000 0.5000
```

size of the total moment	0.00	μB/atom
energy relative to the lowest polymorph listed for this composition	0.026	eV/atom
ΔH_f (0 K)	-0.183	eV/atom



Computed, not measured: an optimized crystal structure of La3CoC at the PBE-GGA level of DFT.

POSCAR file:
```
La3CoC
1.0
5.1208 0.0000 0.0000
0.0000 5.1208 0.0000
0.0000 0.0000 5.1208
La Co C
3 1 1
direct
0.0000 0.0000 0.5000
0.5000 0.0000 0.0000
0.0000 0.5000 0.0000
0.0000 0.0000 0.0000
0.5000 0.5000 0.5000
```

size of the total moment	0.00	μB/atom
ΔH_f (0 K)	0.798	eV/atom



Computed, not measured: an optimized crystal structure of HoPuU at the PBE-GGA level of DFT.

POSCAR file:
```
HoPuU
1.0
-1.8470 -3.2010 -0.3368
4.4191 -2.5398 -0.0952
0.6923 0.9012 8.0831
Ho Pu U
2 2 2
direct
0.0693 0.2500 0.1386
0.9307 0.7500 0.8614
0.6371 0.7500 0.2741
0.3629 0.2500 0.7259
0.2439 0.7500 0.4878
0.7561 0.2500 0.5122
```

size of the total moment	1.30	μB/atom
energy relative to the lowest polymorph listed for this composition	0.000	eV/atom
ΔH_f (0 K)	0.099	eV/atom



Computed, not measured: an optimized crystal structure of PuAg6O8 at the PBE-GGA level of DFT.

POSCAR file:
```
PuAg6O8
1.0
-0.0960 -5.6462 4.5447
1.4261 -5.6433 -2.5424
5.6489 -3.4684 2.9331
Ag O Pu
6 8 1
direct
0.0000 0.5000 0.5000
0.5000 0.0000 0.5000
0.0000 0.0000 0.5000
0.0000 0.5000 0.0000
0.5000 0.5000 0.0000
0.5000 0.0000 0.0000
0.1986 0.8014 0.1986
0.2221 0.7779 0.7779
0.2500 0.2500 0.2500
0.7500 0.7500 0.7500
0.8014 0.1986 0.8014
0.7779 0.7779 0.2221
0.2221 0.2221 0.7779
0.7779 0.2221 0.2221
0.0000 0.0000 0.0000
```

size of the total moment	0.09	μB/atom
energy relative to the elements, uncorrected	-0.65	eV per atom



Computed, not measured: an optimized crystal structure of Th2GeBIr6 at the PBE-GGA level of DFT.

POSCAR file:
```
Th2GeBIr6
1.0
5.7340 0.0000 0.0000
0.0000 7.2467 0.0000
0.0000 0.0000 8.5752
Ge Th Ir B
2 4 12 2
direct
0.5000 0.3153 0.0000
0.0000 0.6847 0.5000
0.0000 0.2870 0.2195
0.5000 0.7130 0.2805
0.5000 0.7130 0.7195
0.0000 0.2870 0.7805
0.0000 0.8624 0.2470
0.2456 0.5891 0.0000
0.7544 0.5891 0.0000
0.2656 0.0006 0.0000
0.5000 0.1376 0.2530
0.2544 0.4109 0.5000
0.5000 0.1376 0.7470
0.7656 0.9994 0.5000
0.0000 0.8624 0.7530
0.7344 0.0006 0.0000
0.7456 0.4109 0.5000
0.2344 0.9994 0.5000
0.5000 0.1946 0.5000
0.0000 0.8054 0.0000
```

size of the total moment	0.00	μB/atom
ΔH_f (0 K)	-0.636	eV/atom



Computed, not measured: an optimized crystal structure of Ta2InTc at the PBE-GGA level of DFT.

POSCAR file:
```
Ta2InTc
1.0
-4.7742 7.9037 0.0292
-5.2059 7.0332 2.9489
-2.6606 8.5735 2.1630
In Ta Tc
1 2 1
direct
0.7543 0.7543 0.7543
0.9956 0.9956 0.9956
0.2444 0.2444 0.2444
0.5058 0.5058 0.5058
```

size of the total moment	0.00	μB/atom
ΔH_f (0 K)	0.177	eV/atom